# 1
ZnCd4Cu after structural relaxation. Source: Alexandria via LeMat-Bulk, functional PBE.

Results
Calculated volume, Å³ per atom: 21.30
DOS(E_F), states/eV/cell: 9.55

The structure in CIF format:
```
data_ZnCd4Cu
_symmetry_space_group_name_H-M 'F -4 3 m'
_symmetry_Int_Tables_number 216
_symmetry_space_group_name_Hall 'F -4 2 3'
_cell_length_a 7.9953
_cell_length_b 7.9953
_cell_length_c 7.9953
_cell_angle_alpha 90.00
_cell_angle_beta 90.00
_cell_angle_gamma 90.00
loop_
_atom_site_label
_atom_site_fract_x
_atom_site_fract_y
_atom_site_fract_z
Zn1 0.0000 0.0000 0.0000
Cd1 0.1248 0.1248 0.6248
Cu1 0.2500 0.2500 0.2500
```

***

# 2
Zn2Cd2Cu after structural relaxation. Source: Alexandria via LeMat-Bulk, functional PBE.

Results
Distance to the lowest polymorph of the same formula, eV/atom: 0.132
Calculated volume, Å³ per atom: 19.24
DOS(E_F), states/eV/cell: 4.40

The structure in CIF format:
```
data_Zn2Cd2Cu
_symmetry_space_group_name_H-M 'P 4/m b m'
_symmetry_Int_Tables_number 127
_symmetry_space_group_name_Hall '-P 4 2ab'
_cell_length_a 7.2093
_cell_length_b 7.2093
_cell_length_c 3.7015
_cell_angle_alpha 90.00
_cell_angle_beta 90.00
_cell_angle_gamma 90.00
loop_
_atom_site_label
_atom_site_fract_x
_atom_site_fract_y
_atom_site_fract_z
Zn1 0.1360 0.3640 0.0000
Cd1 0.1654 0.6654 0.5000
Cu1 0.0000 0.0000 0.5000
```

***

# 3
Zn6CdCu6 after structural relaxation. Source: Alexandria via LeMat-Bulk, functional PBE.

Results
Calculated volume, Å³ per atom: 14.19
DOS(E_F), states/eV/cell: 7.92

The structure in CIF format:
```
data_Zn6CdCu6
_symmetry_space_group_name_H-M 'I m m m'
_symmetry_Int_Tables_number 71
_symmetry_space_group_name_Hall '-I 2 2'
_cell_length_a 4.9662
_cell_length_b 8.5385
_cell_length_c 8.7002
_cell_angle_alpha 90.00
_cell_angle_beta 90.00
_cell_angle_gamma 90.00
loop_
_atom_site_label
_atom_site_fract_x
_atom_site_fract_y
_atom_site_fract_z
Zn1 0.0000 0.0000 0.1533
Zn2 0.0000 0.3404 0.5000
Zn3 0.0000 0.5000 0.1908
Cd1 0.0000 0.0000 0.5000
Cu1 0.0000 0.2679 0.0000
Cu2 0.2500 0.2500 0.2500
```

***

# 4
ZnCd3Cu after structural relaxation. Source: Alexandria via LeMat-Bulk, functional PBE.

Results
Distance to the lowest polymorph of the same formula, eV/atom: 0.244
Calculated volume, Å³ per atom: 25.43
DOS(E_F), states/eV/cell: 1.59

The structure in CIF format:
```
data_ZnCd3Cu
_symmetry_space_group_name_H-M 'P m -3 m'
_symmetry_Int_Tables_number 221
_symmetry_space_group_name_Hall '-P 4 2 3'
_cell_length_a 5.0282
_cell_length_b 5.0282
_cell_length_c 5.0282
_cell_angle_alpha 90.00
_cell_angle_beta 90.00
_cell_angle_gamma 90.00
loop_
_atom_site_label
_atom_site_fract_x
_atom_site_fract_y
_atom_site_fract_z
Zn1 0.0000 0.0000 0.0000
Cd1 0.0000 0.0000 0.5000
Cu1 0.5000 0.5000 0.5000
```

***

# 5
ZnCd2Cu2 after structural relaxation. Source: Alexandria via LeMat-Bulk, functional PBE.

Results
Distance to the lowest polymorph of the same formula, eV/atom: 0.000
Calculated volume, Å³ per atom: 16.86
DOS(E_F), states/eV/cell: 2.20

The structure in CIF format:
```
data_ZnCd2Cu2
_symmetry_space_group_name_H-M 'P 4/m b m'
_symmetry_Int_Tables_number 127
_symmetry_space_group_name_Hall '-P 4 2ab'
_cell_length_a 6.3750
_cell_length_b 6.3750
_cell_length_c 4.1492
_cell_angle_alpha 90.00
_cell_angle_beta 90.00
_cell_angle_gamma 90.00
loop_
_atom_site_label
_atom_site_fract_x
_atom_site_fract_y
_atom_site_fract_z
Zn1 0.0000 0.0000 0.0000
Cd1 0.1677 0.3323 0.5000
Cu1 0.1378 0.6378 0.0000
```

***

# 6
Zn7CdCu5 after structural relaxation. Source: Alexandria via LeMat-Bulk, functional PBE.

Results
Calculated volume, Å³ per atom: 14.38
DOS(E_F), states/eV/cell: 5.47

The structure in CIF format:
```
data_Zn7CdCu5
_symmetry_space_group_name_H-M 'I m m 2'
_symmetry_Int_Tables_number 44
_cell_length_a 4.9825
_cell_length_b 8.6436
_cell_length_c 8.6802
_cell_angle_alpha 90.00
_cell_angle_beta 90.00
_cell_angle_gamma 90.00
loop_
_symmetry_equiv_pos_as_xyz
'x,y,z'
'-x,-y,z'
'-x,y,z'
'x,-y,z'
'x+1/2,y+1/2,z+1/2'
'-x+1/2,-y+1/2,z+1/2'
'-x+1/2,y+1/2,z+1/2'
'x+1/2,-y+1/2,z+1/2'
loop_
_atom_site_label
_atom_site_fract_x
_atom_site_fract_y
_atom_site_fract_z
Zn1 0.0000 0.0000 0.0000
Zn2 0.0000 0.0000 0.3151
Zn3 0.0000 0.2948 0.1544
Zn4 0.0000 0.3438 0.6625
Zn5 0.0000 0.5000 0.3814
Cd1 0.0000 0.0000 0.6475
Cu1 0.0000 0.5000 0.9284
Cu2 0.2489 0.2506 0.4078
```

***

Short version: energy of formation = 0.34 0.27 -0.06 0.55 0.06 -0.05 eV per atom, in the order given.
Short version: magnetization = 0.0 0.0 0.0 0.0 0.0 0.0 μB/f.u., in the order given.
Short version: calculated total energy = -1.165 -1.429 -2.605 -1.069 -2.202 -2.386 eV/atom, in the order given.